[1]
Material: KRb4Bi4
Method: DFT, PBE-GGA
State: relaxed

Properties
The formation energy is -0.2091 eV per atom. For the spin magnetization, the calculation gives 2.12 μB/f.u.

Geometry as POSCAR:
```
KRb4Bi4
1.0
11.439 0.000 0.000
0.000 11.439 0.000
0.000 0.000 7.556
K Rb Bi
2 8 8
direct
0.250 0.250 0.250
0.750 0.750 0.750
0.066 0.662 0.104
0.162 0.934 0.604
0.338 0.566 0.604
0.434 0.838 0.104
0.566 0.162 0.896
0.662 0.434 0.396
0.838 0.066 0.396
0.934 0.338 0.896
0.010 0.610 0.600
0.110 0.990 0.100
0.390 0.510 0.100
0.490 0.890 0.600
0.510 0.110 0.400
0.610 0.490 0.900
0.890 0.010 0.900
0.990 0.390 0.400
```

***

[2]
Material: KBPb
Method: DFT, PBE-GGA
State: relaxed

Properties
The formation energy is 0.9370 eV per atom. For the spin magnetization, the calculation gives 0.00 μB/f.u. The calculation puts the energy relative to the lowest polymorph listed for this composition at 799 meV/atom.

Geometry as POSCAR:
```
KBPb
1.0
5.710 0.000 0.000
-2.855 4.945 0.000
0.000 0.000 8.286
K B Pb
2 2 2
direct
0.333 0.667 0.250
0.667 0.333 0.750
0.000 0.000 0.250
0.000 0.000 0.750
0.000 0.000 0.000
0.000 0.000 0.500
```

***

[3]
Material: LaCu2
Method: DFT, PBE-GGA
State: relaxed

Properties
The formation energy is -0.2197 eV per atom. For the spin magnetization, the calculation gives 0.00 μB/f.u.

Geometry as POSCAR:
```
LaCu2
1.0
4.327 0.000 0.000
-2.163 3.747 0.000
0.000 0.000 3.879
La Cu
1 2
direct
0.000 0.000 0.000
0.333 0.667 0.500
0.667 0.333 0.500
```

***

[4]
Material: Ca5Hg2Ir2
Method: DFT, PBE-GGA
State: relaxed

Properties
The formation energy is -0.3967 eV per atom. For the spin magnetization, the calculation gives 0.00 μB/f.u.

Geometry as POSCAR:
```
Ca5Hg2Ir2
1.0
8.154 -3.843 0.000
8.154 3.843 0.000
0.000 0.000 7.738
Ca Hg Ir
10 4 4
direct
0.000 0.000 0.000
0.054 0.708 0.673
0.208 0.554 0.173
0.292 0.946 0.673
0.446 0.792 0.173
0.500 0.500 0.500
0.554 0.208 0.827
0.708 0.054 0.327
0.792 0.446 0.827
0.946 0.292 0.327
0.215 0.215 0.000
0.285 0.285 0.500
0.715 0.715 0.500
0.785 0.785 0.000
0.118 0.882 0.380
0.382 0.618 0.880
0.618 0.382 0.120
0.882 0.118 0.620
```

***

[5]
Material: Tb5Bi4Ir
Method: DFT, PBE-GGA
State: relaxed

Properties
The formation energy is -0.7501 eV per atom. For the spin magnetization, the calculation gives 0.00 μB/f.u.

Geometry as POSCAR:
```
Tb5Bi4Ir
1.0
-4.906 4.906 3.157
4.906 -4.906 3.157
4.906 4.906 -3.157
Tb Bi Ir
5 4 1
direct
0.000 0.000 0.000
0.343 0.714 0.819
0.524 0.343 0.629
0.714 0.895 0.371
0.895 0.524 0.181
0.031 0.822 0.611
0.210 0.420 0.389
0.420 0.031 0.210
0.822 0.210 0.790
0.563 0.563 0.000
```

***

[6]
Material: YBe2Ni2
Method: DFT, PBE-GGA
State: relaxed

Properties
The formation energy is -0.3065 eV per atom. For the spin magnetization, the calculation gives 0.00 μB/f.u. The calculation puts the energy relative to the lowest polymorph listed for this composition at 35 meV/atom.

Geometry as POSCAR:
```
YBe2Ni2
1.0
3.792 0.000 0.000
0.000 3.792 0.000
0.000 0.000 9.386
Y Be Ni
2 4 4
direct
0.000 0.000 0.000
0.500 0.500 0.500
0.000 0.500 0.250
0.000 0.500 0.750
0.500 0.000 0.250
0.500 0.000 0.750
0.000 0.000 0.369
0.000 0.000 0.631
0.500 0.500 0.131
0.500 0.500 0.869
```